Here is an optimized crystal structure of PaGaH6Ru2 from Alexandria via LeMat-Bulk. Energies are from PBE.

Computed properties:
**Total energy**: -5.368 eV/atom
**Total magnetic moment**: 0.009 μB per atom
**Density of states at the Fermi level**: 0.1016 states/eV/atom

Geometry as CIF:
```
data_PaGaH6Ru2
_symmetry_space_group_name_H-M 'R -3 m'
_symmetry_Int_Tables_number 166
_symmetry_space_group_name_Hall '-R 3 2"'
_cell_length_a 4.4062
_cell_length_b 4.4062
_cell_length_c 15.8451
_cell_angle_alpha 90.00
_cell_angle_beta 90.00
_cell_angle_gamma 120.00
loop_
_atom_site_label
_atom_site_fract_x
_atom_site_fract_y
_atom_site_fract_z
_atom_site_occupancy
Pa1 0.0000 0.0000 0.0000 1
Ga1 0.0000 0.0000 0.5000 1
H1 0.0160 0.5080 0.0552 1
Ru1 0.0000 0.0000 0.2141 1
```